[1]
This record from Alexandria via LeMat-Bulk describes Ac2ScAlSe6 after structural relaxation. The functional is GGA-PBE.

abc: 6.940 7.534 12.210
angles: 90.00 124.40 90.00
Space group P2_1/c (No. 14)
One atom of each set of equivalent atoms:
1 Ac 0.215 0.096 0.248 [4 per cell]
2 Sc 0.500 0.000 0.000 [2 per cell]
3 Al 0.000 0.000 0.500 [2 per cell]
4 Se 0.134 0.196 0.952 [4 per cell]
5 Se 0.260 0.683 0.952 [4 per cell]
6 Se 0.341 0.010 0.743 [4 per cell]

E_form (uncorrected): -1.65 eV per atom


[2]
This record from Alexandria via LeMat-Bulk describes AcSmScAl after structural relaxation. The functional is GGA-PBE.

abc: 7.669 7.669 7.669
angles: 90.00 90.00 90.00
Space group F-43m (No. 216)
One atom of each set of equivalent atoms:
1 Ac 0.000 0.000 0.000 [4 per cell]
2 Sm 0.250 0.250 0.750 [4 per cell]
3 Sc 0.250 0.250 0.250 [4 per cell]
4 Al 0.000 0.000 0.500 [4 per cell]

Energy of formation from the pure elements: 0.08 eV per atom


What did the second record say?
This record from Alexandria via LeMat-Bulk describes AcSmScAl after structural relaxation. The functional is GGA-PBE.

abc: 7.669 7.669 7.669
angles: 90.00 90.00 90.00
Space group F-43m (No. 216)
One atom of each set of equivalent atoms:
1 Ac 0.000 0.000 0.000 [4 per cell]
2 Sm 0.250 0.250 0.750 [4 per cell]
3 Sc 0.250 0.250 0.250 [4 per cell]
4 Al 0.000 0.000 0.500 [4 per cell]

Energy of formation from the pure elements: 0.08 eV per atom


What is the formula in the first record?
Ac2ScAlSe6


Number 1 is which compound?
Ac2ScAlSe6